# 1
The following is a DFT calculation (GGA-PBE) of a geometry-optimized KTiSb structure.

Properties
SG	No. 129
density of states at the Fermi level	1.97	states/eV/f.u.
energy relative to the elements, uncorrected	-33	kJ/mol of atoms

Lattice parameters (Å, degrees): 4.4834 4.4834 8.9165 90.00 90.00 90.00
Atoms (fractional coordinates):
K 0.0000 0.5000 0.8575
K 0.5000 0.0000 0.1425
Sb 0.0000 0.5000 0.3014
Sb 0.5000 0.0000 0.6986
Ti 0.5000 0.5000 0.5000
Ti 0.0000 0.0000 0.5000

***

# 2
The following is a DFT calculation (GGA-PBE) of a geometry-optimized KTi2Sb structure.

Properties
SG	No. 122
density of states at the Fermi level	4.09	states/eV/f.u.
energy relative to the elements, uncorrected	50	kJ/mol of atoms

Lattice parameters (Å, degrees): 4.8897 4.8897 10.6887 76.78 76.78 90.00
Atoms (fractional coordinates):
Sb 0.0000 0.0000 0.0000
Sb 0.7500 0.2500 0.5000
K 0.5000 0.5000 0.0000
K 0.2500 0.7500 0.5000
Ti 0.8912 0.1250 0.2500
Ti 0.8588 0.6250 0.2500
Ti 0.3750 0.1088 0.7500
Ti 0.8750 0.1412 0.7500

***

# 3
The following is a DFT calculation (GGA-PBE) of a geometry-optimized K2Ti2Sb structure.

Properties
SG	No. 139
density of states at the Fermi level	3.73	states/eV/f.u.
energy relative to the elements, uncorrected	41	kJ/mol of atoms

Lattice parameters (Å, degrees): 3.5528 3.5528 12.5501 81.86 81.86 90.00
Atoms (fractional coordinates):
Sb 0.0000 0.0000 0.0000
K 0.3931 0.3931 0.2138
K 0.6069 0.6069 0.7862
Ti 0.7500 0.2500 0.5000
Ti 0.2500 0.7500 0.5000

***

# 4
The following is a DFT calculation (GGA-PBE) of a geometry-optimized K2Ti2Sb structure.

Properties
SG	No. 127
density of states at the Fermi level	5.72	states/eV/f.u.
energy relative to the elements, uncorrected	120	kJ/mol of atoms

Lattice parameters (Å, degrees): 9.9314 9.9314 3.2175 90.00 90.00 90.00
Atoms (fractional coordinates):
Sb 0.0000 0.0000 0.0000
Sb 0.5000 0.5000 0.0000
K 0.3804 0.8804 0.0000
K 0.8804 0.6196 0.0000
K 0.6196 0.1196 0.0000
K 0.1196 0.3804 0.0000
Ti 0.1868 0.6868 0.5000
Ti 0.6868 0.8132 0.5000
Ti 0.8132 0.3132 0.5000
Ti 0.3132 0.1868 0.5000

***

# 5
The following is a DFT calculation (GGA-PBE) of a geometry-optimized K2TiSb structure.

Properties
SG	No. 122
density of states at the Fermi level	3.53	states/eV/f.u.
energy relative to the elements, uncorrected	41	kJ/mol of atoms

Lattice parameters (Å, degrees): 4.4328 4.4328 12.9978 80.18 80.18 90.00
Atoms (fractional coordinates):
Sb 0.0000 0.0000 0.0000
Sb 0.7500 0.2500 0.5000
K 0.6314 0.1250 0.2500
K 0.1186 0.6250 0.2500
K 0.3750 0.3686 0.7500
K 0.8750 0.8814 0.7500
Ti 0.5000 0.5000 0.0000
Ti 0.2500 0.7500 0.5000

***

# 6
The following is a DFT calculation (GGA-PBE) of a geometry-optimized KTiTlSb2 structure.

Properties
SG	No. 123
density of states at the Fermi level	3.40	states/eV/f.u.
energy relative to the elements, uncorrected	-19	kJ/mol of atoms

Lattice parameters (Å, degrees): 5.3541 5.3541 5.5447 90.00 90.00 90.00
Atoms (fractional coordinates):
Sb 0.0000 0.5000 0.0000
Sb 0.5000 0.0000 0.0000
Tl 0.0000 0.0000 0.5000
K 0.5000 0.5000 0.5000
Ti 0.0000 0.0000 0.0000

***

# 7
The following is a DFT calculation (GGA-PBE) of a geometry-optimized KTi2TlSb structure.

Properties
SG	No. 123
density of states at the Fermi level	4.01	states/eV/f.u.
energy relative to the elements, uncorrected	64	kJ/mol of atoms

Lattice parameters (Å, degrees): 5.2858 6.5440 5.2858 90.00 90.00 90.00
Atoms (fractional coordinates):
Sb 0.0000 0.0000 0.0000
Tl 0.0000 0.5000 0.0000
K 0.5000 0.5000 0.5000
Ti 0.0000 0.0000 0.5000
Ti 0.5000 0.0000 0.0000

***

# 8
The following is a DFT calculation (GGA-PBE) of a geometry-optimized K2YTiSb structure.

Properties
SG	No. 123
density of states at the Fermi level	6.38	states/eV/f.u.
energy relative to the elements, uncorrected	116	kJ/mol of atoms

Lattice parameters (Å, degrees): 6.3690 5.0181 6.3690 90.00 90.00 90.00
Atoms (fractional coordinates):
Y 0.0000 0.0000 0.0000
Sb 0.5000 0.5000 0.5000
K 0.0000 0.0000 0.5000
K 0.5000 0.0000 0.0000
Ti 0.0000 0.5000 0.0000

***

# 9
The following is a DFT calculation (GGA-PBE) of a geometry-optimized KYTi2Sb structure.

Properties
SG	No. 123
density of states at the Fermi level	5.72	states/eV/f.u.
energy relative to the elements, uncorrected	122	kJ/mol of atoms

Lattice parameters (Å, degrees): 4.6147 5.7574 4.6147 90.00 90.00 90.00
Atoms (fractional coordinates):
Y 0.5000 0.5000 0.5000
Sb 0.0000 0.5000 0.0000
K 0.0000 0.0000 0.0000
Ti 0.0000 0.0000 0.5000
Ti 0.5000 0.0000 0.0000

***

# 10
The following is a DFT calculation (GGA-PBE) of a geometry-optimized K2TlSb structure.

Properties
SG	No. 63
density of states at the Fermi level	2.36	states/eV/f.u.
energy relative to the elements, uncorrected	-23	kJ/mol of atoms

Lattice parameters (Å, degrees): 6.5059 6.9647 6.9647 97.68 90.00 90.00
Atoms (fractional coordinates):
K 0.7500 0.0219 0.6738
K 0.2500 0.9781 0.3262
K 0.2500 0.3262 0.9781
K 0.7500 0.6738 0.0219
Tl 0.0000 0.5000 0.5000
Tl 0.5000 0.5000 0.5000
Sb 0.7500 0.1936 0.1936
Sb 0.2500 0.8064 0.8064

***

# 11
The following is a DFT calculation (GGA-PBE) of a geometry-optimized K6Tl2Sb3 structure.

Properties
SG	No. 15
density of states at the Fermi level	1.14	states/eV/f.u.
energy relative to the elements, uncorrected	-38	kJ/mol of atoms

Lattice parameters (Å, degrees): 10.0161 10.0161 19.9682 82.99 82.99 119.51
Atoms (fractional coordinates):
Sb 0.8878 0.4276 0.3650
Sb 0.5724 0.1122 0.1350
Sb 0.1122 0.5724 0.6350
Sb 0.4276 0.8878 0.8650
Sb 0.9671 0.7903 0.1303
Sb 0.2097 0.0329 0.3697
Sb 0.0329 0.2097 0.8697
Sb 0.7903 0.9671 0.6303
Sb 0.6041 0.7278 0.3622
Sb 0.2722 0.3959 0.1378
Sb 0.3959 0.2722 0.6378
Sb 0.7278 0.6041 0.8622
K 0.0241 0.9759 0.7500
K 0.9759 0.0241 0.2500
K 0.8000 0.2000 0.7500
K 0.2000 0.8000 0.2500
K 0.1273 0.9391 0.5548
K 0.0609 0.8727 0.9452
K 0.8727 0.0609 0.4452
K 0.9391 0.1273 0.0548
K 0.2435 0.4134 0.3217
K 0.5866 0.7565 0.1783
K 0.7565 0.5866 0.6783
K 0.4134 0.2435 0.8217
K 0.5870 0.0753 0.3223
K 0.9247 0.4130 0.1777
K 0.4130 0.9247 0.6777
K 0.0753 0.5870 0.8223
K 0.2168 0.6724 0.4462
K 0.3276 0.7832 0.0538
K 0.7832 0.3276 0.5538
K 0.6724 0.2168 0.9462
K 0.4861 0.3369 0.4455
K 0.6631 0.5139 0.0545
K 0.5139 0.6631 0.5545
K 0.3369 0.4861 0.9455
Tl 0.7327 0.5614 0.2725
Tl 0.4386 0.2673 0.2275
Tl 0.2673 0.4386 0.7275
Tl 0.5614 0.7327 0.7725
Tl 0.8755 0.7054 0.4296
Tl 0.2946 0.1245 0.0704
Tl 0.1245 0.2946 0.5704
Tl 0.7054 0.8755 0.9296

***

# 12
The following is a DFT calculation (GGA-PBE) of a geometry-optimized KTl10Sb3 structure.

Properties
SG	No. 225
density of states at the Fermi level	11.87	states/eV/f.u.
energy relative to the elements, uncorrected	2	kJ/mol of atoms

Lattice parameters (Å, degrees): 11.2693 11.2693 11.2693 60.00 60.00 60.00
Atoms (fractional coordinates):
K 0.2500 0.2500 0.2500
K 0.7500 0.7500 0.7500
Tl 0.0000 0.0000 0.3500
Tl 0.0000 0.3500 0.0000
Tl 0.3500 0.0000 0.0000
Tl 0.6500 0.3500 0.0000
Tl 0.3767 0.3767 0.3767
Tl 0.1302 0.6233 0.6233
Tl 0.3767 0.8698 0.3767
Tl 0.6500 0.0000 0.3500
Tl 0.3767 0.3767 0.8698
Tl 0.8698 0.3767 0.3767
Tl 0.6233 0.6233 0.1302
Tl 0.0000 0.0000 0.6500
Tl 0.3500 0.6500 0.0000
Tl 0.0000 0.6500 0.3500
Tl 0.0000 0.3500 0.6500
Tl 0.6500 0.0000 0.0000
Tl 0.6233 0.6233 0.6233
Tl 0.0000 0.6500 0.0000
Tl 0.6233 0.1302 0.6233
Tl 0.3500 0.0000 0.6500
Sb 0.7189 0.7189 0.2811
Sb 0.7189 0.2811 0.7189
Sb 0.2811 0.7189 0.7189
Sb 0.2811 0.2811 0.7189
Sb 0.7189 0.2811 0.2811
Sb 0.2811 0.7189 0.2811